A plane-wave DFT calculation with GGA-PBE was carried out for a relaxed structure of ErAl6Br.

Results
E (Ry per atom): -0.2644
Spin magnetization (μB/cell): 0.0
ρ (g cm⁻³): 4.10

a b c (Å): 8.2218 8.2218 8.4894
angles (deg): 90.00 90.00 120.00
Last column: nearest neighbours and their distance in Å.
Space group R-3 (No. 148, hexagonal axes)
Unique sites:
Er: 0.0000 0.0000 0.0000 [3 per cell]  12 Al 3.06-3.14
Al: 0.0082 0.3131 0.2165 [18 per cell]  5 Al 2.80-2.92, 1 Br 2.83, 2 Er 3.06-3.14
Br: 0.0000 0.0000 0.5000 [3 per cell]  6 Al 2.83